TaCuTc | Alexandria | PBE-GGA | optimized geometry; total magnetic moment = 0.0 μB/f.u.; mass density = 12.5 g cm⁻³; volume = 45.35 Å³/cell; distance to the lowest polymorph of the same formula = 92 meV/atom
1.0
4.838 -0.005 0.004
2.361 4.222 -0.004
-3.077 -3.001 2.221
Tc Cu Ta
1 1 1
Cartesian
2.434 1.426 0.000
7.176 4.204 0.000
4.788 2.805 0.000